P:
KW2F | Alexandria | PBE with a Hubbard U | optimized geometry; total moment = 2.37 μB/atom; space group = Fm-3m (225)
1.0
1.0837 -3.3789 3.9054
-1.2161 1.2469 4.9809
-3.9213 -2.5237 2.4694
K W F
1 2 1
Direct
0.5000 0.5000 0.5000 K
0.2500 0.2500 0.2500 W
0.7500 0.7500 0.7500 W
0.0000 0.0000 0.0000 F



Q:
KW2F | Alexandria | PBE with a Hubbard U | optimized geometry; total moment = 2.00 μB/atom; space group = I4_1/amd (141)
1.0
7.1167 0.0000 0.0000
0.0000 7.1167 0.0000
3.5583 3.5583 5.4941
K W F
2 4 2
Direct
0.0000 0.0000 0.0000 K
0.7500 0.2500 0.5000 K
0.3750 0.1250 0.2500 W
0.3750 0.6250 0.2500 W
0.3750 0.6250 0.7500 W
0.8750 0.6250 0.7500 W
0.5000 0.5000 0.0000 F
0.2500 0.7500 0.5000 F



Tell me which of them is the most stable. Sure, it is Q.